DFT (PBE-GGA) results for a relaxed structure of HoTmZnPb.

Cell and atoms, written as POSCAR:
```
HoTmZnPb
1.0
7.3526 0.0000 0.0000
0.0000 7.3526 0.0000
0.0000 0.0000 7.3526
Ho Tm Zn Pb
4 4 4 4
direct
0.0000 0.0000 0.0000
0.0000 0.5000 0.5000
0.5000 0.0000 0.5000
0.5000 0.5000 0.0000
0.0000 0.0000 0.5000
0.0000 0.5000 0.0000
0.5000 0.0000 0.0000
0.5000 0.5000 0.5000
0.2500 0.2500 0.2500
0.2500 0.7500 0.7500
0.7500 0.2500 0.7500
0.7500 0.7500 0.2500
0.2500 0.2500 0.7500
0.2500 0.7500 0.2500
0.7500 0.2500 0.2500
0.7500 0.7500 0.7500
```

Output
**Crystal system**: cubic
**Volume**: 99.4 Å³/f.u.
**Total magnetization**: 0.000 μB/cell
**Space group**: F-43m, No. 216
**E**: -61.49 eV/cell